# Ba2Ta GGA-PBE optimized geometry
data_Ba2Ta
_chemical_formula_sum 'Ba8 Ta4'
_cell_length_a 18.3194
_cell_length_b 4.3356
_cell_length_c 7.2226
_cell_angle_alpha 90.00
_cell_angle_beta 103.13
_cell_angle_gamma 90.00
_space_group_name_H-M_alt 'C 1 2/m 1'
_space_group_IT_number 12
_space_group_name_Hall '-C 2y'
loop_
_atom_site_label
_atom_site_type_symbol
_atom_site_fract_x
_atom_site_fract_y
_atom_site_fract_z
_atom_site_occupancy
Ba1 Ba 0.0855 0.0000 0.2940 1
Ba2 Ba 0.1593 0.5000 0.8134 1
Ta1 Ta 0.2359 0.5000 0.3955 1
# Total DFT energy (no corrections) (eV/cell): -55.1
# Energy of formation (eV/atom): 0.637
# Relative energy among the computed polymorphs (eV per formula unit): 0.00
# Magnetization (μB per cell): 0.0



# BaTa4 GGA-PBE optimized geometry
data_BaTa4
_chemical_formula_sum 'Ba2 Ta8'
_cell_length_a 6.2559
_cell_length_b 6.2559
_cell_length_c 6.2559
_cell_angle_alpha 90.00
_cell_angle_beta 90.00
_cell_angle_gamma 90.00
_space_group_name_H-M_alt 'I m -3 m'
_space_group_IT_number 229
_space_group_name_Hall '-I 4 2 3'
loop_
_atom_site_label
_atom_site_type_symbol
_atom_site_fract_x
_atom_site_fract_y
_atom_site_fract_z
_atom_site_occupancy
Ba1 Ba 0.0000 0.0000 0.0000 1
Ta1 Ta 0.2500 0.2500 0.2500 1
# Total DFT energy (no corrections) (eV/cell): -71.8
# Energy of formation (eV/atom): 2.684
# Relative energy among the computed polymorphs (eV per formula unit): 9.14
# Magnetization (μB per cell): 0.0